A relaxed Tl2Pd2S3 crystal, computed with PBE.

abc: 7.758 7.758 7.758
angles: 109.47 109.47 109.47
Fractional coordinates of all 14 atoms:
Tl 0.000 0.311 0.500
Tl 0.189 0.189 0.189
Tl 0.311 0.500 0.000
Tl 0.500 0.000 0.311
Pd 0.000 0.709 0.500
Pd 0.500 0.000 0.709
Pd 0.709 0.500 0.000
Pd 0.791 0.791 0.791
S 0.082 0.750 0.832
S 0.250 0.668 0.418
S 0.418 0.250 0.668
S 0.668 0.418 0.250
S 0.750 0.832 0.082
S 0.832 0.082 0.750

Summary:
Energy above the most stable polymorph in this dataset ... 234 meV per atom
Final energy ... -55.461 eV/cell


A relaxed U2Si2Os crystal, computed with PBE.

abc: 3.789 3.789 14.448
angles: 90.00 90.00 120.00
Fractional coordinates of all 10 atoms:
U 0.333 0.667 0.045
U 0.333 0.667 0.455
U 0.667 0.333 0.545
U 0.667 0.333 0.955
Si 0.333 0.667 0.669
Si 0.333 0.667 0.831
Si 0.667 0.333 0.169
Si 0.667 0.333 0.331
Os 0.000 0.000 0.250
Os 0.000 0.000 0.750

Summary:
Final energy ... -90.824 eV/cell


A relaxed GdDy2In3Fe3 crystal, computed with PBE.

abc: 3.903 7.455 7.455
angles: 119.70 90.00 90.00
Fractional coordinates of all 9 atoms:
Gd 0.000 0.000 0.000
Dy 0.000 0.177 0.586
Dy 0.000 0.586 0.177
In 0.500 0.332 0.332
In 0.500 0.587 0.844
In 0.500 0.844 0.587
Fe 0.000 0.587 0.587
Fe 0.500 0.255 0.919
Fe 0.500 0.919 0.255

Summary:
Final energy ... -47.752 eV/cell


A relaxed TcAsOsO crystal, computed with PBE.

abc: 3.759 5.623 5.266
angles: 90.00 90.00 90.00
Fractional coordinates of all 8 atoms:
Tc 0.000 0.209 0.000
Tc 0.000 0.791 0.500
As 0.000 0.260 0.462
As 0.000 0.740 0.962
Os 0.500 0.439 0.704
Os 0.500 0.561 0.204
O 0.500 0.131 0.914
O 0.500 0.869 0.414

Summary:
Energy above the most stable polymorph in this dataset ... 0 meV per atom
Final energy ... -63.987 eV/cell


A relaxed Gd2TmTl2Zn3Cd crystal, computed with PBE.

abc: 4.547 7.228 7.228
angles: 119.36 90.00 90.00
Fractional coordinates of all 9 atoms:
Gd 0.000 0.214 0.786
Gd 0.000 0.786 0.214
Tm 0.000 0.357 0.357
Tl 0.500 0.121 0.450
Tl 0.500 0.450 0.121
Zn 0.500 0.013 0.013
Zn 0.500 0.553 0.785
Zn 0.500 0.785 0.553
Cd 0.000 0.778 0.778

Summary:
Final energy ... -25.904 eV/cell


A relaxed CsCoCuTe2Se crystal, computed with PBE.

abc: 8.629 8.629 10.287
angles: 90.00 90.00 154.21
Fractional coordinates of all 12 atoms:
Cs 0.248 0.752 0.750
Cs 0.752 0.248 0.250
Co 0.500 0.500 0.000
Co 0.500 0.500 0.500
Cu 0.031 0.969 0.250
Cu 0.969 0.031 0.750
Te 0.101 0.899 0.031
Te 0.101 0.899 0.469
Te 0.899 0.101 0.531
Te 0.899 0.101 0.969
Se 0.447 0.553 0.250
Se 0.553 0.447 0.750

Summary:
Final energy ... -46.241 eV/cell


A relaxed CsNd2CuTeS3 crystal, computed with PBE.

abc: 7.675 7.675 14.541
angles: 90.00 90.00 148.05
Fractional coordinates of all 16 atoms:
Cs 0.130 0.870 0.750
Cs 0.870 0.130 0.250
Nd 0.367 0.633 0.549
Nd 0.367 0.633 0.951
Nd 0.633 0.367 0.049
Nd 0.633 0.367 0.451
Cu 0.167 0.833 0.250
Cu 0.833 0.167 0.750
Te 0.436 0.564 0.750
Te 0.564 0.436 0.250
S 0.000 0.000 0.000
S 0.000 0.000 0.500
S 0.249 0.751 0.107
S 0.249 0.751 0.393
S 0.751 0.249 0.607
S 0.751 0.249 0.893

Summary:
Energy above the most stable polymorph in this dataset ... 43 meV per atom
Final energy ... -82.967 eV/cell


A relaxed InIr15 crystal, computed with PBE.

abc: 4.732 35.816 4.731
angles: 90.00 109.58 90.00
Fractional coordinates of all 32 atoms:
In 0.000 0.203 0.250
In 0.000 0.797 0.750
Ir 0.000 0.251 0.750
Ir 0.000 0.290 0.250
Ir 0.000 0.328 0.750
Ir 0.000 0.367 0.250
Ir 0.000 0.404 0.750
Ir 0.000 0.442 0.250
Ir 0.000 0.481 0.750
Ir 0.000 0.519 0.250
Ir 0.000 0.558 0.750
Ir 0.000 0.596 0.250
Ir 0.000 0.633 0.750
Ir 0.000 0.672 0.250
Ir 0.000 0.710 0.750
Ir 0.000 0.749 0.250
Ir 0.500 0.216 0.750
Ir 0.500 0.251 0.250
Ir 0.500 0.290 0.750
Ir 0.500 0.328 0.250
Ir 0.500 0.365 0.750
Ir 0.500 0.404 0.250
Ir 0.500 0.442 0.750
Ir 0.500 0.481 0.250
Ir 0.500 0.519 0.750
Ir 0.500 0.558 0.250
Ir 0.500 0.596 0.750
Ir 0.500 0.635 0.250
Ir 0.500 0.672 0.750
Ir 0.500 0.710 0.250
Ir 0.500 0.749 0.750
Ir 0.500 0.784 0.250

Summary:
Energy above the most stable polymorph in this dataset ... 54 meV per atom
Final energy ... -267.213 eV/cell